i | Entry from the Alexandria database: an optimized crystal structure of TaRhI2N (PBE).

POSCAR file:
```
TaRhI2N
1.0
5.589 0.000 0.000
0.000 5.589 0.000
0.000 0.000 3.642
Ta Rh I N
1 1 2 1
Direct
0.000 0.000 0.000
0.500 0.500 0.500
0.000 0.500 0.500
0.500 0.000 0.500
0.500 0.500 0.000
```

Size of the total moment, μB per atom: 0.482

---

ii | Entry from the Alexandria database: an optimized crystal structure of TaRhI2N (PBE).

POSCAR file:
```
TaRhI2N
1.0
5.618 0.000 0.000
0.000 5.618 0.000
0.000 0.000 3.874
Ta Rh I N
1 1 2 1
Direct
0.000 0.000 0.000
0.500 0.500 0.500
0.000 0.500 0.000
0.500 0.000 0.000
0.000 0.000 0.500
```

Size of the total moment, μB per atom: 0.275

---

From most stable to least stable, the computed energies give ii, i.

---

i | Entry from the Alexandria database: an optimized crystal structure of Te2RhIN (PBE).

POSCAR file:
```
Te2RhIN
1.0
5.711 0.000 0.000
0.000 5.711 0.000
0.000 0.000 3.673
Te Rh I N
2 1 1 1
Direct
0.000 0.500 0.000
0.500 0.000 0.000
0.000 0.000 0.000
0.500 0.500 0.500
0.000 0.000 0.500
```

Size of the total moment, μB per atom: 0.001

---

ii | Entry from the Alexandria database: an optimized crystal structure of Te2RhIN (PBE).

POSCAR file:
```
Te2RhIN
1.0
5.169 0.000 0.000
0.000 5.169 0.000
0.000 0.000 5.749
Te Rh I N
2 1 1 1
Direct
0.000 0.500 0.000
0.500 0.000 0.000
0.000 0.000 0.000
0.000 0.000 0.500
0.500 0.500 0.500
```

Size of the total moment, μB per atom: 0.488

---

iii | Entry from the Alexandria database: an optimized crystal structure of Te2RhIN (PBE).

POSCAR file:
```
Te2RhIN
1.0
4.772 0.000 0.000
0.000 4.772 0.000
0.000 0.000 4.659
Te Rh I N
2 1 1 1
Direct
0.000 0.500 0.000
0.500 0.000 0.000
0.000 0.000 0.500
0.500 0.500 0.500
0.500 0.500 0.000
```

Size of the total moment, μB per atom: 0.000

---

From most stable to least stable, the computed energies give i, iii, ii.

---

i | Entry from the Alexandria database: an optimized crystal structure of TeRhI2N (PBE).

POSCAR file:
```
TeRhI2N
1.0
5.670 0.000 0.000
0.000 5.670 0.000
0.000 0.000 4.995
Te Rh I N
1 1 2 1
Direct
0.000 0.000 0.000
0.000 0.000 0.500
0.000 0.500 0.500
0.500 0.000 0.500
0.500 0.500 0.000
```

Size of the total moment, μB per atom: 0.585

---

ii | Entry from the Alexandria database: an optimized crystal structure of TeRhI2N (PBE).

POSCAR file:
```
TeRhI2N
1.0
4.817 0.000 0.000
0.000 4.817 0.000
0.000 0.000 4.906
Te Rh I N
1 1 2 1
Direct
0.000 0.000 0.000
0.500 0.500 0.000
0.000 0.500 0.500
0.500 0.000 0.500
0.000 0.000 0.500
```

Size of the total moment, μB per atom: 0.304

---

From most stable to least stable, the computed energies give i, ii.